OsPt4Br | PBE | relaxed

Values from the calculation:
The space group is F-43m (216). For the raw total energy, the calculation gives -5.2592 eV/atom. As for the formation energy from raw total energies: 0.92 eV/atom.

abc: 5.321 5.321 5.321
angles: 60.00 60.00 60.00
Fractional positions:
Pt 0.375 0.375 0.876
Pt 0.375 0.876 0.375
Os 0.000 0.000 0.000
Br 0.750 0.750 0.750
Pt 0.375 0.375 0.375
Pt 0.876 0.375 0.375